# MnTcSbO6 (GGA+U, optimized geometry)
# Magnetic moment, μB/f.u.: 5.01
# Total DFT energy (no corrections), eV/atom: -6.9109
# D(E_F), states/eV/f.u.: 3.64
data_MnTcSbO6
_chemical_formula_sum 'Mn2 Tc2 Sb2 O12'
_symmetry_space_group_name_H-M 'P -3 1 c'
_symmetry_Int_Tables_number 163
_symmetry_space_group_name_Hall '-P 3 2c'
_cell_length_a 5.2426
_cell_length_b 5.2426
_cell_length_c 9.1897
_cell_angle_alpha 90.00
_cell_angle_beta 90.00
_cell_angle_gamma 120.00
loop_
_atom_site_label
_atom_site_type_symbol
_atom_site_fract_x
_atom_site_fract_y
_atom_site_fract_z
Mn1 Mn 0.0000 0.0000 0.0000
Tc1 Tc 0.3333 0.6667 0.2500
Sb1 Sb 0.3333 0.6667 0.7500
O1 O 0.0054 0.3562 0.1335